Entry 1:
First-principles (PBE) data for a relaxed Sc5In2OsPd2 crystal, as listed in Alexandria via LeMat-Bulk.

Computed properties:
M_tot: 0.00 μB/f.u.
Fermi-level density of states: 10.19 states/eV/cell
Energy of formation from the pure elements: -0.581 eV/atom
Total energy: -6.46 eV/atom

```
Sc5In2OsPd2
1.0
11.254 0.000 0.000
0.000 11.254 0.000
0.000 0.000 3.265
Sc In Os Pd
10 4 2 4
direct
0.000 0.500 0.000
0.062 0.187 0.000
0.187 0.938 0.000
0.313 0.438 0.000
0.438 0.687 0.000
0.500 0.000 0.000
0.562 0.313 0.000
0.687 0.562 0.000
0.813 0.062 0.000
0.938 0.813 0.000
0.174 0.674 0.500
0.326 0.174 0.500
0.674 0.826 0.500
0.826 0.326 0.500
0.000 0.000 0.500
0.500 0.500 0.500
0.134 0.366 0.500
0.366 0.866 0.500
0.634 0.134 0.500
0.866 0.634 0.500
```

Entry 2:
First-principles (PBE) data for a relaxed InOsPd2Se crystal, as listed in Alexandria via LeMat-Bulk.

Computed properties:
M_tot: 0.00 μB/f.u.
Fermi-level density of states: 5.29 states/eV/cell
Raw formation energy: 1.026 eV/atom
Total energy: -4.54 eV/atom

```
InOsPd2Se
1.0
4.791 0.000 0.000
0.000 4.791 0.000
0.000 0.000 5.170
In Os Pd Se
1 1 2 1
direct
0.000 0.000 0.000
0.000 0.000 0.500
0.000 0.500 0.500
0.500 0.000 0.500
0.500 0.500 0.000
```

Entry 3:
First-principles (PBE) data for a relaxed InTcOsPd2 crystal, as listed in Alexandria via LeMat-Bulk.

Computed properties:
M_tot: 5.25 μB/f.u.
Fermi-level density of states: 4.90 states/eV/cell
Energy of formation from the pure elements: 2.049 eV/atom
Total energy: -4.90 eV/atom

```
InTcOsPd2
1.0
4.763 0.000 0.000
0.000 4.763 0.000
0.000 0.000 4.980
In Tc Os Pd
1 1 1 2
direct
0.000 0.000 0.000
0.000 0.000 0.500
0.500 0.500 0.500
0.000 0.500 0.000
0.500 0.000 0.000
```

Entry 4:
First-principles (PBE) data for a relaxed Tm4InOsPd2 crystal, as listed in Alexandria via LeMat-Bulk.

Computed properties:
M_tot: 0.00 μB/f.u.
Fermi-level density of states: 3.48 states/eV/cell
Energy of formation from the pure elements: -0.649 eV/atom
Total energy: -5.93 eV/atom

```
Tm4InOsPd2
1.0
2.473 1.428 8.131
-2.473 1.428 8.131
0.000 -2.856 8.131
Tm In Os Pd
4 1 1 2
direct
0.115 0.115 0.115
0.368 0.368 0.368
0.632 0.632 0.632
0.885 0.885 0.885
0.500 0.500 0.500
0.000 0.000 0.000
0.246 0.246 0.246
0.754 0.754 0.754
```

Entry 5:
First-principles (PBE) data for a relaxed Pm3InOs crystal, as listed in Alexandria via LeMat-Bulk.

Computed properties:
M_tot: 0.00 μB/f.u.
Fermi-level density of states: 7.00 states/eV/cell
Energy relative to the lowest polymorph listed for this composition: 0 meV/atom
Energy of formation from the pure elements: -0.268 eV/atom
Total energy: -5.91 eV/atom

```
Pm3InOs
1.0
0.000 4.963 8.212
3.367 0.000 8.212
3.367 4.963 0.000
Pm In Os
6 2 2
direct
0.196 0.584 0.416
0.201 0.201 0.799
0.416 0.804 0.196
0.584 0.196 0.804
0.799 0.799 0.201
0.804 0.416 0.584
0.206 0.794 0.794
0.794 0.206 0.206
0.250 0.250 0.250
0.750 0.750 0.750
```

Entry 6:
First-principles (PBE) data for a relaxed Pm6In2Os crystal, as listed in Alexandria via LeMat-Bulk.

Computed properties:
M_tot: 0.00 μB/f.u.
Fermi-level density of states: 9.53 states/eV/cell
Energy of formation from the pure elements: -0.275 eV/atom
Total energy: -5.30 eV/atom

```
Pm6In2Os
1.0
3.955 0.000 0.000
0.000 7.597 4.425
0.000 -7.597 4.425
Pm In Os
6 2 1
direct
0.000 0.000 0.000
0.000 0.513 0.749
0.000 0.749 0.513
0.500 0.141 0.752
0.500 0.359 0.359
0.500 0.752 0.141
0.000 0.084 0.420
0.000 0.420 0.084
0.500 0.764 0.764
```

Entry 7:
First-principles (PBE) data for a relaxed Pm8InOs2 crystal, as listed in Alexandria via LeMat-Bulk.

Computed properties:
M_tot: 0.00 μB/f.u.
Fermi-level density of states: 11.14 states/eV/cell
Energy of formation from the pure elements: -0.121 eV/atom
Total energy: -5.87 eV/atom

```
Pm8InOs2
1.0
4.519 -6.720 0.000
4.519 6.720 0.000
-1.232 0.000 5.431
Pm In Os
8 1 2
direct
0.000 0.000 0.000
0.060 0.322 0.633
0.134 0.636 0.203
0.322 0.060 0.633
0.447 0.710 0.774
0.636 0.134 0.203
0.710 0.447 0.774
0.768 0.768 0.406
0.384 0.384 0.203
0.071 0.698 0.703
0.698 0.071 0.703
```

Entry 8:
First-principles (PBE) data for a relaxed Pm3InOs crystal, as listed in Alexandria via LeMat-Bulk.

Computed properties:
M_tot: 0.00 μB/f.u.
Fermi-level density of states: 3.41 states/eV/cell
Energy relative to the lowest polymorph listed for this composition: 231 meV/atom
Energy of formation from the pure elements: -0.037 eV/atom
Total energy: -5.68 eV/atom

```
Pm3InOs
1.0
5.485 0.000 0.000
0.000 5.485 0.000
0.000 0.000 5.485
Pm In Os
3 1 1
direct
0.000 0.000 0.500
0.000 0.500 0.000
0.500 0.000 0.000
0.500 0.500 0.500
0.000 0.000 0.000
```

Entry 9:
First-principles (PBE) data for a relaxed Pm5InOs2 crystal, as listed in Alexandria via LeMat-Bulk.

Computed properties:
M_tot: 0.00 μB/f.u.
Fermi-level density of states: 10.09 states/eV/cell
Energy of formation from the pure elements: -0.229 eV/atom
Total energy: -6.35 eV/atom

```
Pm5InOs2
1.0
-3.924 3.924 7.261
3.924 -3.924 7.261
3.924 3.924 -7.261
Pm In Os
10 2 4
direct
0.000 0.000 0.000
0.044 0.544 0.854
0.191 0.044 0.500
0.309 0.809 0.854
0.456 0.309 0.500
0.500 0.500 0.000
0.544 0.691 0.500
0.691 0.191 0.146
0.809 0.956 0.500
0.956 0.456 0.146
0.250 0.250 0.000
0.750 0.750 0.000
0.116 0.384 0.500
0.384 0.884 0.267
0.616 0.116 0.733
0.884 0.616 0.500
```

Entry 10:
First-principles (PBE) data for a relaxed PmInOs crystal, as listed in Alexandria via LeMat-Bulk.

Computed properties:
M_tot: 0.00 μB/f.u.
Fermi-level density of states: 17.71 states/eV/cell
Energy of formation from the pure elements: -0.186 eV/atom
Total energy: -6.43 eV/atom

```
PmInOs
1.0
2.866 1.655 13.779
-2.866 1.655 13.779
0.000 -3.310 13.779
Pm In Os
6 6 6
direct
0.038 0.038 0.038
0.179 0.179 0.179
0.272 0.272 0.272
0.728 0.728 0.728
0.821 0.821 0.821
0.962 0.962 0.962
0.227 0.723 0.723
0.277 0.277 0.773
0.277 0.773 0.277
0.723 0.227 0.723
0.723 0.723 0.227
0.773 0.277 0.277
0.000 0.500 0.500
0.383 0.383 0.383
0.500 0.000 0.500
0.500 0.500 0.000
0.500 0.500 0.500
0.617 0.617 0.617
```

Entry 11:
First-principles (PBE) data for a relaxed PmScInOs crystal, as listed in Alexandria via LeMat-Bulk.

Computed properties:
M_tot: 0.00 μB/f.u.
Fermi-level density of states: 2.40 states/eV/cell
Energy of formation from the pure elements: -0.178 eV/atom
Total energy: -6.44 eV/atom

```
PmScInOs
1.0
0.000 3.522 3.522
3.522 0.000 3.522
3.522 3.522 0.000
Pm Sc In Os
1 1 1 1
direct
0.000 0.000 0.000
0.500 0.500 0.500
0.750 0.750 0.750
0.250 0.250 0.250
```

Entry 12:
First-principles (PBE) data for a relaxed PmTmInOs crystal, as listed in Alexandria via LeMat-Bulk.

Computed properties:
M_tot: 0.00 μB/f.u.
Fermi-level density of states: 2.44 states/eV/cell
Energy of formation from the pure elements: -0.189 eV/atom
Total energy: -5.99 eV/atom

```
PmTmInOs
1.0
0.000 3.590 3.590
3.590 0.000 3.590
3.590 3.590 0.000
Pm Tm In Os
1 1 1 1
direct
0.000 0.000 0.000
0.500 0.500 0.500
0.750 0.750 0.750
0.250 0.250 0.250
```

Entry 13:
First-principles (PBE) data for a relaxed Pr5InOs2 crystal, as listed in Alexandria via LeMat-Bulk.

Computed properties:
M_tot: 0.00 μB/f.u.
Fermi-level density of states: 10.30 states/eV/cell
Energy of formation from the pure elements: -0.179 eV/atom
Total energy: -6.32 eV/atom

```
Pr5InOs2
1.0
-3.982 3.982 7.349
3.982 -3.982 7.349
3.982 3.982 -7.349
Pr In Os
10 2 4
direct
0.000 0.000 0.000
0.046 0.546 0.857
0.189 0.046 0.500
0.311 0.811 0.857
0.454 0.311 0.500
0.500 0.500 0.000
0.546 0.689 0.500
0.689 0.189 0.143
0.811 0.954 0.500
0.954 0.454 0.143
0.250 0.250 0.000
0.750 0.750 0.000
0.113 0.387 0.500
0.387 0.887 0.273
0.613 0.113 0.727
0.887 0.613 0.500
```

Entry 14:
First-principles (PBE) data for a relaxed Pr5In2Os crystal, as listed in Alexandria via LeMat-Bulk.

Computed properties:
M_tot: 0.00 μB/f.u.
Fermi-level density of states: 14.82 states/eV/cell
Energy of formation from the pure elements: -0.289 eV/atom
Total energy: -5.36 eV/atom

```
Pr5In2Os
1.0
8.140 0.000 0.000
0.000 12.576 0.000
0.000 0.000 4.838
Pr In Os
10 4 2
direct
0.000 0.000 0.000
0.140 0.298 0.000
0.184 0.569 0.500
0.316 0.069 0.500
0.360 0.798 0.000
0.500 0.500 0.000
0.640 0.202 0.000
0.684 0.931 0.500
0.816 0.431 0.500
0.860 0.702 0.000
0.073 0.831 0.500
0.427 0.331 0.500
0.573 0.669 0.500
0.927 0.169 0.500
0.000 0.500 0.000
0.500 0.000 0.000
```

Entry 15:
First-principles (PBE) data for a relaxed Pr2InOs crystal, as listed in Alexandria via LeMat-Bulk.

Computed properties:
M_tot: 0.00 μB/f.u.
Fermi-level density of states: 3.46 states/eV/cell
Energy relative to the lowest polymorph listed for this composition: 0 meV/atom
Energy of formation from the pure elements: -0.151 eV/atom
Total energy: -6.03 eV/atom

```
Pr2InOs
1.0
3.524 0.000 0.000
0.000 3.524 0.000
0.000 0.000 8.561
Pr In Os
2 1 1
direct
0.000 0.000 0.204
0.000 0.000 0.796
0.500 0.500 0.500
0.500 0.500 0.000
```

Entry 16:
First-principles (PBE) data for a relaxed Pr2InOs crystal, as listed in Alexandria via LeMat-Bulk.

Computed properties:
M_tot: 0.00 μB/f.u.
Fermi-level density of states: 3.20 states/eV/cell
Energy relative to the lowest polymorph listed for this composition: 386 meV/atom
Energy of formation from the pure elements: 0.235 eV/atom
Total energy: -5.65 eV/atom

```
Pr2InOs
1.0
2.027 1.170 10.093
-2.027 1.170 10.093
0.000 -2.341 10.093
Pr In Os
2 1 1
direct
0.114 0.114 0.114
0.886 0.886 0.886
0.000 0.000 0.000
0.500 0.500 0.500
```

Entry 17:
First-principles (PBE) data for a relaxed Pr8In2Os crystal, as listed in Alexandria via LeMat-Bulk.

Computed properties:
M_tot: 0.00 μB/f.u.
Fermi-level density of states: 11.11 states/eV/cell
Energy of formation from the pure elements: -0.191 eV/atom
Total energy: -5.19 eV/atom

```
Pr8In2Os
1.0
9.038 -2.825 0.000
9.038 2.825 0.000
-2.655 0.000 6.715
Pr In Os
8 2 1
direct
0.006 0.006 0.269
0.200 0.200 0.743
0.359 0.359 0.592
0.394 0.394 0.097
0.606 0.606 0.903
0.641 0.641 0.408
0.800 0.800 0.257
0.994 0.994 0.731
0.183 0.183 0.189
0.817 0.817 0.811
0.500 0.500 0.500
```

Entry 18:
First-principles (PBE) data for a relaxed PrInOs crystal, as listed in Alexandria via LeMat-Bulk.

Computed properties:
M_tot: 0.00 μB/f.u.
Fermi-level density of states: 5.29 states/eV/cell
Energy of formation from the pure elements: -0.063 eV/atom
Total energy: -6.31 eV/atom

```
PrInOs
1.0
5.364 0.000 0.000
0.000 4.298 0.000
-0.860 0.000 6.724
Pr In Os
2 2 2
direct
0.069 0.250 0.252
0.931 0.750 0.748
0.408 0.250 0.841
0.592 0.750 0.159
0.420 0.750 0.545
0.580 0.250 0.455
```

Entry 19:
First-principles (PBE) data for a relaxed InOsPt2 crystal, as listed in Alexandria via LeMat-Bulk.

Computed properties:
M_tot: 0.00 μB/f.u.
Fermi-level density of states: 20.91 states/eV/cell
Energy relative to the lowest polymorph listed for this composition: 406 meV/atom
Energy of formation from the pure elements: 0.458 eV/atom
Total energy: -6.05 eV/atom

```
InOsPt2
1.0
-1.972 1.972 9.240
1.972 -1.972 9.240
1.972 1.972 -9.240
In Os Pt
2 2 4
direct
0.000 0.000 0.000
0.750 0.250 0.500
0.250 0.750 0.500
0.500 0.500 0.000
0.140 0.625 0.015
0.375 0.390 0.515
0.610 0.125 0.985
0.875 0.860 0.485
```

Entry 20:
First-principles (PBE) data for a relaxed InOsPt2 crystal, as listed in Alexandria via LeMat-Bulk.

Computed properties:
M_tot: 0.00 μB/f.u.
Fermi-level density of states: 3.16 states/eV/cell
Energy relative to the lowest polymorph listed for this composition: 82 meV/atom
Energy of formation from the pure elements: 0.134 eV/atom
Total energy: -6.38 eV/atom

```
InOsPt2
1.0
-1.400 2.437 4.864
1.400 -2.437 4.864
1.400 2.437 -4.864
In Os Pt
1 1 2
direct
0.000 0.000 0.000
0.255 0.755 0.500
0.490 0.490 0.000
0.745 0.245 0.500
```

Entry 21:
First-principles (PBE) data for a relaxed InOsPt2 crystal, as listed in Alexandria via LeMat-Bulk.

Computed properties:
M_tot: 0.00 μB/f.u.
Fermi-level density of states: 2.70 states/eV/cell
Energy relative to the lowest polymorph listed for this composition: 74 meV/atom
Energy of formation from the pure elements: 0.126 eV/atom
Total energy: -6.39 eV/atom

```
InOsPt2
1.0
1.445 0.834 9.070
-1.445 0.834 9.070
0.000 -1.668 9.070
In Os Pt
1 1 2
direct
0.000 0.000 0.000
0.500 0.500 0.500
0.247 0.247 0.247
0.753 0.753 0.753
```

Entry 22:
First-principles (PBE) data for a relaxed InOsPt2 crystal, as listed in Alexandria via LeMat-Bulk.

Computed properties:
M_tot: 0.00 μB/f.u.
Fermi-level density of states: 5.40 states/eV/cell
Energy relative to the lowest polymorph listed for this composition: 99 meV/atom
Energy of formation from the pure elements: 0.151 eV/atom
Total energy: -6.36 eV/atom

```
InOsPt2
1.0
-2.047 2.047 3.895
2.047 -2.047 3.895
2.047 2.047 -3.895
In Os Pt
1 1 2
direct
0.000 0.000 0.000
0.250 0.750 0.500
0.500 0.500 0.000
0.750 0.250 0.500
```

Entry 23:
First-principles (PBE) data for a relaxed In2OsPt2 crystal, as listed in Alexandria via LeMat-Bulk.

Computed properties:
M_tot: 0.00 μB/f.u.
Fermi-level density of states: 2.32 states/eV/cell
Energy of formation from the pure elements: 0.422 eV/atom
Total energy: -5.34 eV/atom

```
In2OsPt2
1.0
-1.809 1.809 7.389
1.809 -1.809 7.389
1.809 1.809 -7.389
In Os Pt
2 1 2
direct
0.100 0.100 0.000
0.900 0.900 0.000
0.500 0.500 0.000
0.250 0.750 0.500
0.750 0.250 0.500
```

Entry 24:
First-principles (PBE) data for a relaxed InOsPt2 crystal, as listed in Alexandria via LeMat-Bulk.

Computed properties:
M_tot: 1.43 μB/f.u.
Fermi-level density of states: 4.11 states/eV/cell
Energy relative to the lowest polymorph listed for this composition: 225 meV/atom
Energy of formation from the pure elements: 0.277 eV/atom
Total energy: -6.24 eV/atom

```
InOsPt2
1.0
0.000 3.224 3.224
3.224 0.000 3.224
3.224 3.224 0.000
In Os Pt
1 1 2
direct
0.000 0.000 0.000
0.500 0.500 0.500
0.250 0.250 0.250
0.750 0.750 0.750
```